Record 1
TlCu2HgRh | GGA-PBE | optimized geometry

* E_tot: -11.65 eV for the cell shown
* energy of formation from the pure elements: 1.31 eV/atom

Cell lengths 4.789, 5.472, 4.789 Å; angles 90.00, 90.00, 90.00 degrees
Fractional positions:
Cu: 0.500 0.000 0.000
Rh: 0.500 0.500 0.500
Hg: 0.000 0.500 0.000
Tl: 0.000 0.000 0.000
Cu: 0.000 0.000 0.500

***

Record 2
CuHgRh2W | GGA-PBE | optimized geometry

* E_tot: -26.21 eV for the cell shown
* energy of formation from the pure elements: 1.17 eV/atom

Cell lengths 4.712, 4.712, 4.793 Å; angles 90.00, 90.00, 90.00 degrees
Fractional positions:
Hg: 0.500 0.500 0.500
Rh: 0.000 0.500 0.000
W: 0.000 0.000 0.000
Rh: 0.500 0.000 0.000
Cu: 0.000 0.000 0.500

***

Record 3
YCuHg2Rh | GGA-PBE | optimized geometry

* E_tot: -17.42 eV for the cell shown
* energy of formation from the pure elements: 0.22 eV/atom

Cell lengths 5.216, 5.085, 5.216 Å; angles 90.00, 90.00, 90.00 degrees
Fractional positions:
Cu: 0.500 0.500 0.500
Hg: 0.000 0.000 0.500
Y: 0.000 0.500 0.000
Hg: 0.500 0.000 0.000
Rh: 0.000 0.000 0.000

***

> Which of these has the lowest E_tot?

CuHgRh2W

***

> What is the E_tot in the third record?

-17.42 eV for the cell shown